Computed, not measured: LaGdPO after structural relaxation at the PBE level of DFT.

Lattice parameters (Å, degrees): 4.4376 4.4376 9.1038 90.00 90.00 90.00
Element x y z (fractional)
P1 0.7500 0.7500 0.3139
Gd1 0.2500 0.7500 0.5000
La1 0.2500 0.2500 0.1128
P2 0.2500 0.2500 0.6861
O1 0.2500 0.7500 0.0000
Gd2 0.7500 0.2500 0.5000
La2 0.7500 0.7500 0.8872
O2 0.7500 0.2500 0.0000

Computed properties:
Offset from the most stable computed form, meV/atom: 39
Space-group type: P4/nmm (129)
Total moment, μB/atom: 0.001
Density, g/cm³: 6.4

Computed, not measured: LaGdPO after structural relaxation at the PBE level of DFT.

Lattice parameters (Å, degrees): 4.3474 7.5950 6.0759 90.00 90.00 90.00
Element x y z (fractional)
La1 0.5000 0.1992 0.4394
O1 0.0000 0.6626 0.8742
La2 0.5000 0.8008 0.9394
P1 0.5000 0.1784 0.9344
P2 0.5000 0.8216 0.4344
O2 0.0000 0.3374 0.3742
Gd1 0.0000 0.6185 0.5060
Gd2 0.0000 0.3815 0.0060

Computed properties:
Offset from the most stable computed form, meV/atom: 0
Space-group type: Pmc2_1 (26)
Total moment, μB/atom: 0.003
Density, g/cm³: 5.7

Computed, not measured: LaGdPO after structural relaxation at the PBE level of DFT.

Lattice parameters (Å, degrees): 4.2641 4.2641 9.2772 90.00 90.00 90.00
Element x y z (fractional)
P1 0.5000 0.0000 0.2857
Gd1 0.5000 0.0000 0.8984
P2 0.0000 0.5000 0.7143
La1 0.0000 0.0000 0.5000
La2 0.5000 0.5000 0.5000
Gd2 0.0000 0.5000 0.1016
O1 0.5000 0.5000 0.0000
O2 0.0000 0.0000 0.0000

Computed properties:
Offset from the most stable computed form, meV/atom: 204
Space-group type: P4/nmm (129)
Total moment, μB/atom: 0.006
Density, g/cm³: 6.8

Computed, not measured: LaGdPO after structural relaxation at the PBE level of DFT.

Lattice parameters (Å, degrees): 4.2049 8.0289 5.6156 90.00 90.00 90.00
Element x y z (fractional)
La1 0.5000 0.6249 0.4640
P1 0.0000 0.8520 0.4387
P2 0.0000 0.1480 0.9387
Gd1 0.0000 0.1936 0.4400
O1 0.5000 0.3196 0.4113
La2 0.5000 0.3751 0.9640
O2 0.5000 0.6804 0.9113
Gd2 0.0000 0.8064 0.9400

Computed properties:
Offset from the most stable computed form, meV/atom: 38
Space-group type: Pmc2_1 (26)
Total moment, μB/atom: 0.128
Density, g/cm³: 6.0

Computed, not measured: LaGdP2Pt2O2 after structural relaxation at the PBE level of DFT.

Lattice parameters (Å, degrees): 4.1398 4.1398 8.0069 90.00 90.00 90.00
Element x y z (fractional)
P1 0.0000 0.0000 0.6497
Pt1 0.0000 0.5000 0.4933
O1 0.5000 0.0000 0.0105
Pt2 0.5000 0.0000 0.4933
La1 0.5000 0.5000 0.8623
O2 0.0000 0.5000 0.0105
Gd1 0.0000 0.0000 0.1404
P2 0.5000 0.5000 0.3401

Computed properties:
Space-group type: P4mm (99)
Total moment, μB/atom: 0.000
Density, g/cm³: 9.4
Total DFT energy (no corrections), eV per atom: -7.1990

Computed, not measured: Rb2LaGdO4 after structural relaxation at the PBE level of DFT.

Lattice parameters (Å, degrees): 3.6076 3.6076 12.9530 90.00 90.00 120.00
Element x y z (fractional)
La1 0.0000 0.0000 0.5000
O1 0.6667 0.3333 0.9126
Rb1 0.6667 0.3333 0.2452
O2 0.3333 0.6667 0.0874
Gd1 0.0000 0.0000 0.0000
Rb2 0.3333 0.6667 0.7548
O3 0.3333 0.6667 0.4045
O4 0.6667 0.3333 0.5955

Computed properties:
Space-group type: P-3m1 (164)
Total moment, μB/atom: 0.001
Density, g/cm³: 6.0
Total DFT energy (no corrections), eV per atom: -6.5325

Computed, not measured: LaGdSO2 after structural relaxation at the PBE level of DFT.

Lattice parameters (Å, degrees): 3.9436 3.9436 6.7714 90.00 90.00 120.00
Element x y z (fractional)
O1 0.6667 0.3333 0.6367
S1 0.0000 0.0000 0.9903
La1 0.6667 0.3333 0.2775
O2 0.3333 0.6667 0.3785
Gd1 0.3333 0.6667 0.7170

Computed properties:
Space-group type: P3m1 (156)
Total moment, μB/atom: 0.000
Density, g/cm³: 6.6
Total DFT energy (no corrections), eV per atom: -7.8888

Computed, not measured: LaGdZn2Sb2O2 after structural relaxation at the PBE level of DFT.

Lattice parameters (Å, degrees): 4.1652 4.1652 9.5283 90.00 90.00 90.00
Element x y z (fractional)
O1 0.5000 0.0000 0.9943
La1 0.5000 0.5000 0.1197
Sb1 0.5000 0.5000 0.6859
Sb2 0.0000 0.0000 0.3159
Gd1 0.0000 0.0000 0.8877
O2 0.0000 0.5000 0.9943
Zn1 0.0000 0.5000 0.5011
Zn2 0.5000 0.0000 0.5011

Computed properties:
Space-group type: P4mm (99)
Total moment, μB/atom: 0.000
Density, g/cm³: 7.1
Total DFT energy (no corrections), eV per atom: -5.5007